Model a:
The following is a PBE calculation of an optimized crystal structure of SrSc2Cu, from the Alexandria database.

Structure (POSCAR):
```
SrSc2Cu
1.0
7.397 0.000 0.000
0.000 7.397 0.000
0.000 0.000 7.397
Sr Sc Cu
4 8 4
Cartesian
0.000 0.000 0.000
0.000 3.698 3.698
3.698 0.000 3.698
3.698 3.698 0.000
0.000 0.000 3.698
0.000 3.698 0.000
1.849 1.849 1.849
1.849 5.548 5.548
3.698 0.000 0.000
3.698 3.698 3.698
5.548 1.849 5.548
5.548 5.548 1.849
1.849 1.849 5.548
1.849 5.548 1.849
5.548 1.849 1.849
5.548 5.548 5.548
```

Results
Its volume is 25.3 A^3/atom. As for the symmetry: F-43m, No. 216. Its theoretical density is 3.96 g/cm3.

---

Model b:
The following is a PBE calculation of an optimized crystal structure of SrSc2Cu, from the Alexandria database.

Structure (POSCAR):
```
SrSc2Cu
1.0
7.268 0.000 0.000
0.000 7.268 0.000
0.000 0.000 7.268
Sr Sc Cu
4 8 4
Cartesian
0.000 0.000 0.000
0.000 3.634 3.634
3.634 0.000 3.634
3.634 3.634 0.000
1.817 1.817 1.817
1.817 1.817 5.451
1.817 5.451 1.817
1.817 5.451 5.451
5.451 1.817 1.817
5.451 1.817 5.451
5.451 5.451 1.817
5.451 5.451 5.451
0.000 0.000 3.634
0.000 3.634 0.000
3.634 0.000 0.000
3.634 3.634 3.634
```

Results
Its volume is 24.0 A^3/atom. As for the symmetry: Fm-3m, No. 225. Its theoretical density is 4.17 g/cm3.

---

Model c:
The following is a PBE calculation of an optimized crystal structure of SrSc2Cu, from the Alexandria database.

Structure (POSCAR):
```
SrSc2Cu
1.0
5.670 0.000 0.000
0.000 5.670 0.000
0.000 0.000 17.339
Sr Sc Cu
4 8 4
Cartesian
0.000 1.417 6.502
0.000 4.252 10.837
2.835 1.417 2.167
2.835 4.252 15.172
0.000 0.000 0.000
0.000 2.835 0.000
1.417 1.417 13.004
1.417 4.252 4.335
2.835 0.000 8.670
2.835 2.835 8.670
4.252 1.417 13.004
4.252 4.252 4.335
0.000 1.417 15.172
0.000 4.252 2.167
2.835 1.417 10.837
2.835 4.252 6.502
```

Results
Its volume is 34.8 A^3/atom. As for the symmetry: I4_1/amd, No. 141. Its theoretical density is 2.87 g/cm3.

---

Order from most stable to least stable according to the calculation: model a, model b, model c

---

Model a:
The following is a PBE calculation of an optimized crystal structure of SrSc2Cu, from the Alexandria database.

Structure (POSCAR):
```
SrSc2Cu
1.0
3.406 0.000 0.000
0.000 3.406 0.000
0.000 0.000 9.033
Sr Sc Cu
1 2 1
Cartesian
0.000 0.000 0.000
1.703 1.703 3.013
1.703 1.703 6.020
0.000 0.000 4.516
```

Results
Its volume is 26.2 A^3/atom. As for the symmetry: P4/mmm, No. 123. Its theoretical density is 3.82 g/cm3.

---

Model b:
The following is a PBE calculation of an optimized crystal structure of SrSc2Cu, from the Alexandria database.

Structure (POSCAR):
```
SrSc2Cu
1.0
6.216 0.000 0.000
0.000 11.452 0.000
-1.652 0.000 2.899
Sr Sc Cu
2 4 2
Cartesian
0.000 0.000 0.000
3.108 5.726 0.000
0.728 2.863 1.449
0.728 8.589 1.449
3.836 2.863 1.449
3.836 8.589 1.449
0.000 5.726 0.000
3.108 0.000 0.000
```

Results
Its volume is 25.8 A^3/atom. As for the symmetry: C2/m, No. 12. Its theoretical density is 3.88 g/cm3.

---

Order from most stable to least stable according to the calculation: model a, model b

---

Model a:
The following is a PBE calculation of an optimized crystal structure of SrSc2Cu, from the Alexandria database.

Structure (POSCAR):
```
SrSc2Cu
1.0
4.660 0.000 0.000
0.000 4.660 0.000
0.000 0.000 9.266
Sr Sc Cu
2 4 2
Cartesian
0.000 0.000 0.000
2.330 2.330 4.633
0.000 0.000 4.633
0.000 2.330 2.317
2.330 0.000 6.950
2.330 2.330 0.000
0.000 2.330 6.950
2.330 0.000 2.317
```

Results
Its volume is 25.1 A^3/atom. As for the symmetry: I-4m2, No. 119. Its theoretical density is 3.98 g/cm3.

---

Model b:
The following is a PBE calculation of an optimized crystal structure of SrSc2Cu, from the Alexandria database.

Structure (POSCAR):
```
SrSc2Cu
1.0
3.390 0.000 0.000
0.000 5.397 0.000
0.000 0.000 11.271
Sr Sc Cu
2 4 2
Cartesian
0.000 0.000 0.000
1.695 2.699 5.635
0.000 2.699 2.244
0.000 2.699 9.027
1.695 0.000 3.391
1.695 0.000 7.879
0.000 0.000 5.635
1.695 2.699 0.000
```

Results
Its volume is 25.8 A^3/atom. As for the symmetry: Immm, No. 71. Its theoretical density is 3.88 g/cm3.

---

Order from most stable to least stable according to the calculation: model b, model a

---

Model a:
The following is a PBE calculation of an optimized crystal structure of SrSc2Cu, from the Alexandria database.

Structure (POSCAR):
```
SrSc2Cu
1.0
4.352 0.000 0.000
0.000 4.352 0.000
0.000 0.000 10.986
Sr Sc Cu
2 4 2
Cartesian
0.000 0.000 0.000
2.176 2.176 5.493
0.000 2.176 2.746
0.000 2.176 8.239
2.176 0.000 2.746
2.176 0.000 8.239
0.000 0.000 5.493
2.176 2.176 0.000
```

Results
Its volume is 26.0 A^3/atom. As for the symmetry: I4/mmm, No. 139. Its theoretical density is 3.85 g/cm3.

---

Model b:
The following is a PBE calculation of an optimized crystal structure of SrSc2Cu, from the Alexandria database.

Structure (POSCAR):
```
SrSc2Cu
1.0
3.711 0.000 0.000
-1.856 3.214 0.000
0.000 0.000 28.640
Sr Sc Cu
3 6 3
Cartesian
0.000 0.000 0.000
0.000 2.143 19.093
1.856 1.071 9.547
0.000 0.000 6.339
0.000 0.000 22.301
0.000 2.143 12.754
0.000 2.143 25.432
1.856 1.071 3.208
1.856 1.071 15.886
0.000 0.000 14.320
0.000 2.143 4.773
1.856 1.071 23.867
```

Results
Its volume is 28.5 A^3/atom. As for the symmetry: R-3m, No. 166. Its theoretical density is 3.52 g/cm3.

---

Order from most stable to least stable according to the calculation: model b, model a

---

Model a:
The following is a PBE calculation of an optimized crystal structure of Sr2Sc2Cu, from the Alexandria database.

Structure (POSCAR):
```
Sr2Sc2Cu
1.0
7.230 0.000 0.000
0.000 7.230 0.000
0.000 0.000 5.945
Sr Sc Cu
4 4 2
Cartesian
1.279 2.336 0.000
2.336 5.951 0.000
4.894 1.279 0.000
5.951 4.894 0.000
1.127 4.741 2.973
2.488 1.127 2.973
4.741 6.103 2.973
6.103 2.488 2.973
0.000 0.000 2.973
3.615 3.615 2.973
```

Results
Its volume is 31.1 A^3/atom. As for the symmetry: P4/mbm, No. 127. Its theoretical density is 3.51 g/cm3.

---

Model b:
The following is a PBE calculation of an optimized crystal structure of Sr2Sc2Cu, from the Alexandria database.

Structure (POSCAR):
```
Sr2Sc2Cu
1.0
4.017 0.000 0.000
0.000 4.017 0.000
0.000 0.000 20.287
Sr Sc Cu
4 4 2
Cartesian
0.000 0.000 1.852
0.000 0.000 18.435
2.008 2.008 8.291
2.008 2.008 11.995
0.000 2.008 5.072
0.000 2.008 15.215
2.008 0.000 5.072
2.008 0.000 15.215
0.000 0.000 10.143
2.008 2.008 0.000
```

Results
Its volume is 32.7 A^3/atom. As for the symmetry: I4/mmm, No. 139. Its theoretical density is 3.34 g/cm3.

---

Order from most stable to least stable according to the calculation: model a, model b

---

Model a:
The following is a PBE calculation of an optimized crystal structure of ScTaCu2, from the Alexandria database.

Structure (POSCAR):
```
ScTaCu2
1.0
6.501 0.000 0.000
0.000 6.537 0.000
0.000 0.000 3.012
Sc Ta Cu
2 2 4
Cartesian
0.000 0.000 0.000
3.250 3.268 0.000
0.000 3.268 0.000
3.250 0.000 0.000
1.625 1.634 1.506
1.625 4.902 1.506
4.876 1.634 1.506
4.876 4.902 1.506
```

Results
Its volume is 16.0 A^3/atom. As for the symmetry: Cmmm, No. 65. Its theoretical density is 9.16 g/cm3.

---

Model b:
The following is a PBE calculation of an optimized crystal structure of ScTaCu2, from the Alexandria database.

Structure (POSCAR):
```
ScTaCu2
1.0
6.356 0.000 0.000
0.000 6.356 0.000
0.000 0.000 6.356
Sc Ta Cu
4 4 8
Cartesian
0.000 0.000 0.000
0.000 3.178 3.178
3.178 0.000 3.178
3.178 3.178 0.000
1.589 1.589 1.589
1.589 4.767 4.767
4.767 1.589 4.767
4.767 4.767 1.589
0.000 0.000 3.178
0.000 3.178 0.000
1.589 1.589 4.767
1.589 4.767 1.589
3.178 0.000 0.000
3.178 3.178 3.178
4.767 1.589 1.589
4.767 4.767 4.767
```

Results
Its volume is 16.0 A^3/atom. As for the symmetry: F-43m, No. 216. Its theoretical density is 9.13 g/cm3.

---

Order from most stable to least stable according to the calculation: model a, model b

---

Model a:
The following is a PBE calculation of an optimized crystal structure of ScTaCu2, from the Alexandria database.

Structure (POSCAR):
```
ScTaCu2
1.0
3.014 0.000 0.000
0.000 4.163 0.000
-1.443 0.000 5.136
Sc Ta Cu
1 1 2
Cartesian
0.000 0.000 0.000
1.544 2.081 1.959
0.057 0.000 2.789
0.057 2.081 4.284
```

Results
Its volume is 16.1 A^3/atom. As for the symmetry: Pm, No. 6. Its theoretical density is 9.10 g/cm3.

---

Model b:
The following is a PBE calculation of an optimized crystal structure of ScTaCu2, from the Alexandria database.

Structure (POSCAR):
```
ScTaCu2
1.0
6.361 0.000 0.000
0.000 6.361 0.000
0.000 0.000 6.361
Sc Ta Cu
4 4 8
Cartesian
0.000 0.000 0.000
0.000 3.181 3.181
3.181 0.000 3.181
3.181 3.181 0.000
0.000 0.000 3.181
0.000 3.181 0.000
3.181 0.000 0.000
3.181 3.181 3.181
1.590 1.590 1.590
1.590 1.590 4.771
1.590 4.771 1.590
1.590 4.771 4.771
4.771 1.590 1.590
4.771 1.590 4.771
4.771 4.771 1.590
4.771 4.771 4.771
```

Results
Its volume is 16.1 A^3/atom. As for the symmetry: Fm-3m, No. 225. Its theoretical density is 9.11 g/cm3.

---

Model c:
The following is a PBE calculation of an optimized crystal structure of ScTaCu2, from the Alexandria database.

Structure (POSCAR):
```
ScTaCu2
1.0
2.991 0.000 0.000
0.000 4.513 0.000
0.000 0.000 9.515
Sc Ta Cu
2 2 4
Cartesian
0.000 0.000 0.000
1.496 2.257 4.757
0.000 2.257 7.354
1.496 0.000 2.597
0.000 0.000 4.977
0.000 2.257 2.196
1.496 0.000 6.953
1.496 2.257 0.220
```

Results
Its volume is 16.1 A^3/atom. As for the symmetry: Imm2, No. 44. Its theoretical density is 9.13 g/cm3.

---

Model d:
The following is a PBE calculation of an optimized crystal structure of ScTaCu2, from the Alexandria database.

Structure (POSCAR):
```
ScTaCu2
1.0
3.836 0.000 0.000
0.000 3.836 0.000
0.000 0.000 8.664
Sc Ta Cu
2 2 4
Cartesian
0.000 0.000 0.000
1.918 1.918 4.332
0.000 1.918 6.498
1.918 0.000 2.166
0.000 0.000 4.332
0.000 1.918 2.166
1.918 0.000 6.498
1.918 1.918 0.000
```

Results
Its volume is 15.9 A^3/atom. As for the symmetry: I-4m2, No. 119. Its theoretical density is 9.19 g/cm3.

---

Order from most stable to least stable according to the calculation: model a, model b, model c, model d

---

Model a:
The following is a PBE calculation of an optimized crystal structure of ScTa3Cu, from the Alexandria database.

Structure (POSCAR):
```
ScTa3Cu
1.0
4.718 0.000 0.000
0.000 4.718 0.000
0.000 0.000 4.718
Sc Ta Cu
1 3 1
Cartesian
0.000 0.000 0.000
0.000 0.000 2.359
0.000 2.359 0.000
2.359 0.000 0.000
2.359 2.359 2.359
```

Results
Its volume is 21.0 A^3/atom. As for the symmetry: Pm-3m, No. 221. Its theoretical density is 10.30 g/cm3.

---

Model b:
The following is a PBE calculation of an optimized crystal structure of ScTa3Cu, from the Alexandria database.

Structure (POSCAR):
```
ScTa3Cu
1.0
4.709 0.000 0.000
0.000 4.709 0.000
0.000 0.000 4.709
Sc Ta Cu
1 3 1
Cartesian
0.000 0.000 0.000
0.000 2.354 2.354
2.354 0.000 2.354
2.354 2.354 0.000
2.354 2.354 2.354
```

Results
Its volume is 20.9 A^3/atom. As for the symmetry: Pm-3m, No. 221. Its theoretical density is 10.36 g/cm3.

---

Order from most stable to least stable according to the calculation: model b, model a